Record 1
This record from Alexandria describes a relaxed ZrSc2Ag crystal. The functional is GGA-PBEsol. Values from VASP.

```
&SYSTEM
  ibrav = 0, nat = 4, ntyp = 3
/
ATOMIC_SPECIES
Sc 44.96 Sc.upf
Ag 107.87 Ag.upf
Zr 91.22 Zr.upf
CELL_PARAMETERS angstrom
3.364 0.000 0.000
0.000 4.845 0.000
-1.682 -2.422 5.129
ATOMIC_POSITIONS angstrom
Sc 0.000 2.422 2.545
Sc 0.000 0.000 0.245
Ag 1.682 0.000 2.533
Zr 0.000 0.000 4.934
```

relative energy among the computed polymorphs: 75 meV per atom


Record 2
This record from Alexandria describes a relaxed ZrScAg2 crystal. The functional is GGA-PBEsol. Values from VASP.

```
&SYSTEM
  ibrav = 0, nat = 4, ntyp = 3
/
ATOMIC_SPECIES
Zr 91.22 Zr.upf
Sc 44.96 Sc.upf
Ag 107.87 Ag.upf
CELL_PARAMETERS angstrom
-0.433 -3.311 0.785
1.294 0.572 3.125
-5.987 1.313 2.238
ATOMIC_POSITIONS angstrom
Zr -4.172 -0.360 3.676
Sc -2.856 0.626 1.068
Ag -1.017 -1.052 2.496
Ag -0.075 0.016 0.028
```

relative energy among the computed polymorphs: 0 meV per atom


Record 3
This record from Alexandria describes a relaxed Zr2ScAg crystal. The functional is GGA-PBEsol. Values from VASP.

```
&SYSTEM
  ibrav = 0, nat = 4, ntyp = 3
/
ATOMIC_SPECIES
Sc 44.96 Sc.upf
Zr 91.22 Zr.upf
Ag 107.87 Ag.upf
CELL_PARAMETERS angstrom
-3.166 -0.224 0.080
0.227 -2.525 1.910
-0.184 4.946 6.559
ATOMIC_POSITIONS angstrom
Sc -0.135 3.626 4.808
Zr -0.048 1.299 1.723
Zr -1.653 3.571 7.553
Ag -1.562 1.121 4.305
```

relative energy among the computed polymorphs: 0 meV per atom


Record 4
This record from Alexandria describes a relaxed Zr2ScAg crystal. The functional is GGA-PBEsol. Values from VASP.

```
&SYSTEM
  ibrav = 0, nat = 4, ntyp = 3
/
ATOMIC_SPECIES
Zr 91.22 Zr.upf
Ag 107.87 Ag.upf
Sc 44.96 Sc.upf
CELL_PARAMETERS angstrom
-0.366 -2.470 -1.851
3.079 -0.426 -0.041
-0.609 -5.070 6.887
ATOMIC_POSITIONS angstrom
Zr -0.465 -3.870 5.256
Zr -0.144 -1.201 1.631
Ag 1.356 -1.448 -0.946
Sc 1.052 -3.983 2.498
```

relative energy among the computed polymorphs: 84 meV per atom


Record 5
This record from Alexandria describes a relaxed Zr2ScAg crystal. The functional is GGA-PBEsol. Values from VASP.

```
&SYSTEM
  ibrav = 0, nat = 4, ntyp = 3
/
ATOMIC_SPECIES
Zr 91.22 Zr.upf
Sc 44.96 Sc.upf
Ag 107.87 Ag.upf
CELL_PARAMETERS angstrom
-2.170 -1.049 2.147
3.467 0.238 3.621
-1.335 4.740 0.967
ATOMIC_POSITIONS angstrom
Zr 1.734 0.119 1.810
Zr -0.668 2.370 0.484
Sc -1.085 -0.525 1.074
Ag -0.019 1.964 3.368
```

relative energy among the computed polymorphs: 186 meV per atom


Record 6
This record from Alexandria describes a relaxed ZrScAg crystal. The functional is GGA-PBEsol. Values from VASP.

```
&SYSTEM
  ibrav = 0, nat = 3, ntyp = 3
/
ATOMIC_SPECIES
Ag 107.87 Ag.upf
Sc 44.96 Sc.upf
Zr 91.22 Zr.upf
CELL_PARAMETERS angstrom
-0.138 1.175 -2.935
-2.244 -2.105 -0.737
-3.085 4.402 3.613
ATOMIC_POSITIONS angstrom
Ag -5.442 3.448 -0.069
Sc -2.907 2.676 1.208
Zr -2.587 0.819 -1.256
```

uncorrected energy: -6.47 eV per atom